# ScCuAsAu, relaxed, DFT PBE
data_ScCuAsAu
_space_group_name_H-M_alt 'P 1'
_space_group_IT_number 1
_space_group_name_Hall 'P 1'
_cell_length_a 4.6086
_cell_length_b 4.6086
_cell_length_c 4.6086
_cell_angle_alpha 60.00
_cell_angle_beta 60.00
_cell_angle_gamma 60.00
loop_
_atom_site_label
_atom_site_type_symbol
_atom_site_fract_x
_atom_site_fract_y
_atom_site_fract_z
Sc1 Sc 0.2500 0.2500 0.2500
As1 As 0.0000 0.0000 0.0000
Cu1 Cu 0.7500 0.7500 0.7500
Au1 Au 0.5000 0.5000 0.5000
# M_tot, Bohr magnetons per cell: 0.00
# Offset from the most stable computed form, eV per atom: 0.000


# ScCuAsAu, relaxed, DFT PBE
data_ScCuAsAu
_space_group_name_H-M_alt 'P 1'
_space_group_IT_number 1
_space_group_name_Hall 'P 1'
_cell_length_a 4.6324
_cell_length_b 4.6324
_cell_length_c 4.6324
_cell_angle_alpha 60.00
_cell_angle_beta 60.00
_cell_angle_gamma 60.00
loop_
_atom_site_label
_atom_site_type_symbol
_atom_site_fract_x
_atom_site_fract_y
_atom_site_fract_z
As1 As 0.0000 0.0000 0.0000
Cu1 Cu 0.7500 0.7500 0.7500
Au1 Au 0.2500 0.2500 0.2500
Sc1 Sc 0.5000 0.5000 0.5000
# M_tot, Bohr magnetons per cell: 0.00
# Offset from the most stable computed form, eV per atom: 0.163


Compound: Sr2CuAs2Au
Source: OQMD via LeMat-Bulk
Functional: PBE
Structure: relaxed

Geometry as CIF:
```
data_Sr2CuAs2Au
_space_group_name_H-M_alt 'P 1'
_space_group_IT_number 1
_space_group_name_Hall 'P 1'
_cell_length_a 4.4286
_cell_length_b 4.4286
_cell_length_c 8.5567
_cell_angle_alpha 90.00
_cell_angle_beta 90.00
_cell_angle_gamma 120.00
loop_
_atom_site_label
_atom_site_type_symbol
_atom_site_fract_x
_atom_site_fract_y
_atom_site_fract_z
Cu1 Cu 0.0000 0.0000 0.5000
As1 As 0.3333 0.6667 0.5000
As2 As 0.0000 0.0000 0.0000
Sr1 Sr 0.6667 0.3333 0.7471
Sr2 Sr 0.6667 0.3333 0.2529
Au1 Au 0.3333 0.6667 0.0000
```


# TaCuAsAu, relaxed, DFT PBE
data_TaCuAsAu
_space_group_name_H-M_alt 'P 1'
_space_group_IT_number 1
_space_group_name_Hall 'P 1'
_cell_length_a 4.5934
_cell_length_b 4.5934
_cell_length_c 4.5934
_cell_angle_alpha 60.00
_cell_angle_beta 60.00
_cell_angle_gamma 60.00
loop_
_atom_site_label
_atom_site_type_symbol
_atom_site_fract_x
_atom_site_fract_y
_atom_site_fract_z
As1 As 0.0000 0.0000 0.0000
Ta1 Ta 0.5000 0.5000 0.5000
Cu1 Cu 0.7500 0.7500 0.7500
Au1 Au 0.2500 0.2500 0.2500
# M_tot, Bohr magnetons per cell: 0.00
# Offset from the most stable computed form, eV per atom: 0.356


# TaCuAsAu, relaxed, DFT PBE
data_TaCuAsAu
_space_group_name_H-M_alt 'P 1'
_space_group_IT_number 1
_space_group_name_Hall 'P 1'
_cell_length_a 4.5274
_cell_length_b 4.5274
_cell_length_c 4.5274
_cell_angle_alpha 60.00
_cell_angle_beta 60.00
_cell_angle_gamma 60.00
loop_
_atom_site_label
_atom_site_type_symbol
_atom_site_fract_x
_atom_site_fract_y
_atom_site_fract_z
Au1 Au 0.5000 0.5000 0.5000
Ta1 Ta 0.2500 0.2500 0.2500
Cu1 Cu 0.7500 0.7500 0.7500
As1 As 0.0000 0.0000 0.0000
# M_tot, Bohr magnetons per cell: 0.00
# Offset from the most stable computed form, eV per atom: 0.000


# CuTcAsAu, relaxed, DFT PBE
data_CuTcAsAu
_space_group_name_H-M_alt 'P 1'
_space_group_IT_number 1
_space_group_name_Hall 'P 1'
_cell_length_a 4.4221
_cell_length_b 4.4221
_cell_length_c 4.4221
_cell_angle_alpha 60.00
_cell_angle_beta 60.00
_cell_angle_gamma 60.00
loop_
_atom_site_label
_atom_site_type_symbol
_atom_site_fract_x
_atom_site_fract_y
_atom_site_fract_z
Au1 Au 0.5000 0.5000 0.5000
Tc1 Tc 0.2500 0.2500 0.2500
Cu1 Cu 0.7500 0.7500 0.7500
As1 As 0.0000 0.0000 0.0000
# M_tot, Bohr magnetons per cell: 0.03
# Offset from the most stable computed form, eV per atom: 0.000


# CuAsWAu, relaxed, DFT PBE
data_CuAsWAu
_space_group_name_H-M_alt 'P 1'
_space_group_IT_number 1
_space_group_name_Hall 'P 1'
_cell_length_a 4.5642
_cell_length_b 4.5642
_cell_length_c 4.5642
_cell_angle_alpha 60.00
_cell_angle_beta 60.00
_cell_angle_gamma 60.00
loop_
_atom_site_label
_atom_site_type_symbol
_atom_site_fract_x
_atom_site_fract_y
_atom_site_fract_z
Cu1 Cu 0.7500 0.7500 0.7500
W1 W 0.5000 0.5000 0.5000
As1 As 0.0000 0.0000 0.0000
Au1 Au 0.2500 0.2500 0.2500
# M_tot, Bohr magnetons per cell: 1.98
# Offset from the most stable computed form, eV per atom: 0.436


# CuAsWAu, relaxed, DFT PBE
data_CuAsWAu
_space_group_name_H-M_alt 'P 1'
_space_group_IT_number 1
_space_group_name_Hall 'P 1'
_cell_length_a 4.4626
_cell_length_b 4.4626
_cell_length_c 4.4626
_cell_angle_alpha 60.00
_cell_angle_beta 60.00
_cell_angle_gamma 60.00
loop_
_atom_site_label
_atom_site_type_symbol
_atom_site_fract_x
_atom_site_fract_y
_atom_site_fract_z
As1 As 0.0000 0.0000 0.0000
Cu1 Cu 0.7500 0.7500 0.7500
W1 W 0.2500 0.2500 0.2500
Au1 Au 0.5000 0.5000 0.5000
# M_tot, Bohr magnetons per cell: 0.02
# Offset from the most stable computed form, eV per atom: 0.000


# ZnCuAsAu, relaxed, DFT PBE
data_ZnCuAsAu
_space_group_name_H-M_alt 'P 1'
_space_group_IT_number 1
_space_group_name_Hall 'P 1'
_cell_length_a 4.5103
_cell_length_b 4.5103
_cell_length_c 4.5103
_cell_angle_alpha 60.00
_cell_angle_beta 60.00
_cell_angle_gamma 60.00
loop_
_atom_site_label
_atom_site_type_symbol
_atom_site_fract_x
_atom_site_fract_y
_atom_site_fract_z
Au1 Au 0.5000 0.5000 0.5000
Zn1 Zn 0.2500 0.2500 0.2500
As1 As 0.0000 0.0000 0.0000
Cu1 Cu 0.7500 0.7500 0.7500
# Offset from the most stable computed form, eV per atom: 0.000


# ZnCuAsAu, relaxed, DFT PBE
data_ZnCuAsAu
_space_group_name_H-M_alt 'P 1'
_space_group_IT_number 1
_space_group_name_Hall 'P 1'
_cell_length_a 4.5385
_cell_length_b 4.5385
_cell_length_c 4.5385
_cell_angle_alpha 60.00
_cell_angle_beta 60.00
_cell_angle_gamma 60.00
loop_
_atom_site_label
_atom_site_type_symbol
_atom_site_fract_x
_atom_site_fract_y
_atom_site_fract_z
Cu1 Cu 0.7500 0.7500 0.7500
Au1 Au 0.2500 0.2500 0.2500
As1 As 0.0000 0.0000 0.0000
Zn1 Zn 0.5000 0.5000 0.5000
# Offset from the most stable computed form, eV per atom: 0.050


# DyAsAu, relaxed, DFT PBE
data_DyAsAu
_space_group_name_H-M_alt 'P 1'
_space_group_IT_number 1
_space_group_name_Hall 'P 1'
_cell_length_a 4.7432
_cell_length_b 4.7432
_cell_length_c 4.7432
_cell_angle_alpha 60.00
_cell_angle_beta 60.00
_cell_angle_gamma 60.00
loop_
_atom_site_label
_atom_site_type_symbol
_atom_site_fract_x
_atom_site_fract_y
_atom_site_fract_z
As1 As 0.2500 0.2500 0.2500
Dy1 Dy 0.0000 0.0000 0.0000
Au1 Au 0.7500 0.7500 0.7500
# M_tot, Bohr magnetons per cell: 0.00


# DyAs2Au, relaxed, DFT PBE
data_DyAs2Au
_space_group_name_H-M_alt 'P 1'
_space_group_IT_number 1
_space_group_name_Hall 'P 1'
_cell_length_a 4.0306
_cell_length_b 4.0306
_cell_length_c 10.0377
_cell_angle_alpha 90.00
_cell_angle_beta 90.00
_cell_angle_gamma 90.00
loop_
_atom_site_label
_atom_site_type_symbol
_atom_site_fract_x
_atom_site_fract_y
_atom_site_fract_z
Dy1 Dy 0.5000 0.0000 0.2311
Dy2 Dy 0.0000 0.5000 0.7689
As1 As 0.5000 0.5000 0.0000
As2 As 0.5000 0.0000 0.6969
As3 As 0.0000 0.5000 0.3031
As4 As 0.0000 0.0000 0.0000
Au1 Au 0.5000 0.5000 0.5000
Au2 Au 0.0000 0.0000 0.5000
# M_tot, Bohr magnetons per cell: 0.00


Energy per entry: -4.94, -4.77, -4.13, -5.37, -5.73, -5.22, -5.27, -5.70, -3.11, -3.06, -4.82, -5.03 eV/atom